No. 1
Material: LuScCrRu
Method: DFT, PBE
State: optimized geometry

Energy relative to the elements ... -0.605 eV per formula unit

Structure (CIF):
```
data_LuScCrRu
_chemical_formula_sum 'Lu4 Sc4 Cr4 Ru4'
_cell_length_a 6.659
_cell_length_b 6.659
_cell_length_c 6.659
_cell_angle_alpha 90.00
_cell_angle_beta 90.00
_cell_angle_gamma 90.00
_symmetry_space_group_name_H-M 'F -4 3 m'
_symmetry_Int_Tables_number 216
_symmetry_space_group_name_Hall 'F -4 2 3'
loop_
_atom_site_label
_atom_site_fract_x
_atom_site_fract_y
_atom_site_fract_z
Lu1 0.000 0.000 0.000
Sc1 0.000 0.000 0.500
Cr1 0.250 0.250 0.750
Ru1 0.250 0.250 0.250
```

---

No. 2
Material: BaBPt2
Method: DFT, PBE
State: optimized geometry

Energy relative to the elements ... -2.113 eV per formula unit

Structure (CIF):
```
data_BaBPt2
_chemical_formula_sum 'Ba4 B4 Pt8'
_cell_length_a 5.316
_cell_length_b 5.316
_cell_length_c 13.284
_cell_angle_alpha 90.00
_cell_angle_beta 90.00
_cell_angle_gamma 90.00
_symmetry_space_group_name_H-M 'I 41/a m d'
_symmetry_Int_Tables_number 141
loop_
_symmetry_equiv_pos_as_xyz
'x,y,z'
'-x,-y,-z'
'-y+1/4,x+3/4,z+1/4'
'y+1/4,-x+3/4,-z+1/4'
'-x+1/2,-y,z+1/2'
'x+1/2,y,-z+1/2'
'y+1/4,-x+1/4,z+3/4'
'-y+1/4,x+1/4,-z+3/4'
'x,-y,-z'
'-x,y,z'
'-y+1/4,-x+1/4,-z+3/4'
'y+1/4,x+1/4,z+3/4'
'-x+1/2,y,-z+1/2'
'x+1/2,-y,z+1/2'
'y+1/4,x+3/4,-z+1/4'
'-y+1/4,-x+3/4,z+1/4'
'x+1/2,y+1/2,z+1/2'
'-x+1/2,-y+1/2,-z+1/2'
'-y+3/4,x+1/4,z+3/4'
'y+3/4,-x+1/4,-z+3/4'
'-x,-y+1/2,z'
'x,y+1/2,-z'
'y+3/4,-x+3/4,z+1/4'
'-y+3/4,x+3/4,-z+1/4'
'x+1/2,-y+1/2,-z+1/2'
'-x+1/2,y+1/2,z+1/2'
'-y+3/4,-x+3/4,-z+1/4'
'y+3/4,x+3/4,z+1/4'
'-x,y+1/2,-z'
'x,-y+1/2,z'
'y+3/4,x+1/4,-z+3/4'
'-y+3/4,-x+1/4,z+3/4'
loop_
_atom_site_label
_atom_site_fract_x
_atom_site_fract_y
_atom_site_fract_z
Ba1 0.000 0.250 0.375
B1 0.000 0.250 0.875
Pt1 0.000 0.000 0.000
```

---

No. 3
Material: IrAuSe3
Method: DFT, PBE
State: optimized geometry

Formation energy from raw total energies ... 69.96 kJ/mol of atoms

Structure (CIF):
```
data_IrAuSe3
_chemical_formula_sum 'Ir1 Au1 Se3'
_cell_length_a 4.913
_cell_length_b 4.913
_cell_length_c 4.913
_cell_angle_alpha 90.00
_cell_angle_beta 90.00
_cell_angle_gamma 90.00
_symmetry_space_group_name_H-M 'P m -3 m'
_symmetry_Int_Tables_number 221
_symmetry_space_group_name_Hall '-P 4 2 3'
loop_
_atom_site_label
_atom_site_fract_x
_atom_site_fract_y
_atom_site_fract_z
Ir1 0.000 0.000 0.000
Au1 0.500 0.500 0.500
Se1 0.000 0.000 0.500
```

---

no.,final energy (eV/atom)
1,-7.59
2,-5.70
3,-3.79